ZnSnSb3: optimized geometry, PBEsol.

Cell: 5.591 5.591 5.591 Å, 90.00 90.00 90.00°
Element x y z (fractional)
Zn 0.000 0.000 0.000
Sn 0.500 0.500 0.500
Sb 0.000 0.500 0.500
Sb 0.500 0.000 0.500
Sb 0.500 0.500 0.000

Properties
* SG: No. 221
* formation energy from raw total energies: 0.964 eV per atom
* total magnetization: 0.000 μB/f.u.
* ρ: 5219 kg/m³

Sr2Sb: optimized geometry, PBEsol.

Cell: 9.486 9.486 9.486 Å, 149.70 149.70 43.38°
Element x y z (fractional)
Sr 0.000 0.500 0.500
Sr 0.178 0.178 0.000
Sr 0.500 0.000 0.500
Sr 0.822 0.822 0.000
Sb 0.365 0.365 0.000
Sb 0.635 0.635 0.000

Properties
* SG: No. 139
* formation energy from raw total energies: -0.880 eV per atom
* total magnetization: 0.000 μB/f.u.
* ρ: 4552 kg/m³